## P
A plane-wave DFT calculation with PBE was carried out for a geometry-optimized KOsSe structure.

V = 79 Å³/cell

The structure in CIF format:
```
data_KOsSe
_cell_length_a 3.9094
_cell_length_b 3.9094
_cell_length_c 5.9371
_cell_angle_alpha 90.00
_cell_angle_beta 90.00
_cell_angle_gamma 120.00
_symmetry_space_group_name_H-M 'P 3 m 1'
_symmetry_Int_Tables_number 156
_symmetry_space_group_name_Hall 'P 3 -2"'
loop_
_atom_site_label
_atom_site_type_symbol
_atom_site_fract_x
_atom_site_fract_y
_atom_site_fract_z
K1 K 0.0000 0.0000 0.0000
Os1 Os 0.3333 0.6667 0.4614
Se1 Se 0.6667 0.3333 0.5855
```

## Q
A plane-wave DFT calculation with PBE was carried out for a geometry-optimized KOsSe structure.

V = 363 Å³/cell

The structure in CIF format:
```
data_KOsSe
_cell_length_a 7.1309
_cell_length_b 7.1309
_cell_length_c 7.1309
_cell_angle_alpha 90.00
_cell_angle_beta 90.00
_cell_angle_gamma 90.00
_symmetry_space_group_name_H-M 'F -4 3 m'
_symmetry_Int_Tables_number 216
_symmetry_space_group_name_Hall 'F -4 2 3'
loop_
_atom_site_label
_atom_site_type_symbol
_atom_site_fract_x
_atom_site_fract_y
_atom_site_fract_z
K1 K 0.0000 0.0000 0.0000
Os1 Os 0.2500 0.2500 0.2500
Se1 Se 0.2500 0.2500 0.7500
```

## R
A plane-wave DFT calculation with PBE was carried out for a geometry-optimized KOsSe structure.

V = 134 Å³/cell

The structure in CIF format:
```
data_KOsSe
_cell_length_a 3.2680
_cell_length_b 3.2680
_cell_length_c 12.5041
_cell_angle_alpha 90.00
_cell_angle_beta 90.00
_cell_angle_gamma 90.00
_symmetry_space_group_name_H-M 'I 4 m m'
_symmetry_Int_Tables_number 107
_symmetry_space_group_name_Hall 'I 4 -2'
loop_
_atom_site_label
_atom_site_type_symbol
_atom_site_fract_x
_atom_site_fract_y
_atom_site_fract_z
K1 K 0.0000 0.0000 0.0000
Os1 Os 0.0000 0.0000 0.7106
Se1 Se 0.0000 0.0000 0.2893
```

The winner here is P, beating the second structure by 0.008 eV/atom.

## P
A plane-wave DFT calculation with PBE was carried out for a geometry-optimized KOsSe structure.

V = 281 Å³/cell

The structure in CIF format:
```
data_KOsSe
_cell_length_a 6.5486
_cell_length_b 6.5486
_cell_length_c 6.5486
_cell_angle_alpha 90.00
_cell_angle_beta 90.00
_cell_angle_gamma 90.00
_symmetry_space_group_name_H-M 'F -4 3 m'
_symmetry_Int_Tables_number 216
_symmetry_space_group_name_Hall 'F -4 2 3'
loop_
_atom_site_label
_atom_site_type_symbol
_atom_site_fract_x
_atom_site_fract_y
_atom_site_fract_z
K1 K 0.0000 0.0000 0.0000
Os1 Os 0.0000 0.0000 0.5000
Se1 Se 0.2500 0.2500 0.2500
```

## Q
A plane-wave DFT calculation with PBE was carried out for a geometry-optimized KOsSe structure.

V = 60 Å³/cell

The structure in CIF format:
```
data_KOsSe
_cell_length_a 5.0491
_cell_length_b 5.0491
_cell_length_c 2.7375
_cell_angle_alpha 90.00
_cell_angle_beta 90.00
_cell_angle_gamma 120.00
_symmetry_space_group_name_H-M 'P -6 m 2'
_symmetry_Int_Tables_number 187
_symmetry_space_group_name_Hall 'P -6 2'
loop_
_atom_site_label
_atom_site_type_symbol
_atom_site_fract_x
_atom_site_fract_y
_atom_site_fract_z
K1 K 0.0000 0.0000 0.0000
Os1 Os 0.6667 0.3333 0.5000
Se1 Se 0.3333 0.6667 0.5000
```

The winner here is Q, beating the second structure by 0.224 eV/atom.

## P
A plane-wave DFT calculation with PBE was carried out for a geometry-optimized KSi2Os structure.

V = 215 Å³/cell

The structure in CIF format:
```
data_KSi2Os
_cell_length_a 2.9973
_cell_length_b 2.9973
_cell_length_c 27.6210
_cell_angle_alpha 90.00
_cell_angle_beta 90.00
_cell_angle_gamma 120.00
_symmetry_space_group_name_H-M 'R 3 m'
_symmetry_Int_Tables_number 160
_symmetry_space_group_name_Hall 'R 3 -2"'
loop_
_atom_site_label
_atom_site_type_symbol
_atom_site_fract_x
_atom_site_fract_y
_atom_site_fract_z
K1 K 0.0000 0.0000 0.0000
Si1 Si 0.0000 0.0000 0.2317
Si2 Si 0.0000 0.0000 0.4992
Os1 Os 0.0000 0.0000 0.7706
```

## Q
A plane-wave DFT calculation with PBE was carried out for a geometry-optimized KSi2Os structure.

V = 205 Å³/cell

The structure in CIF format:
```
data_KSi2Os
_cell_length_a 3.9739
_cell_length_b 6.3873
_cell_length_c 8.0877
_cell_angle_alpha 90.00
_cell_angle_beta 90.00
_cell_angle_gamma 90.00
_symmetry_space_group_name_H-M 'I m m m'
_symmetry_Int_Tables_number 71
_symmetry_space_group_name_Hall '-I 2 2'
loop_
_atom_site_label
_atom_site_type_symbol
_atom_site_fract_x
_atom_site_fract_y
_atom_site_fract_z
K1 K 0.0000 0.0000 0.0000
Si1 Si 0.0000 0.5000 0.1537
Os1 Os 0.0000 0.0000 0.5000
```

The winner here is P, beating the second structure by 0.020 eV/atom.

## P
A plane-wave DFT calculation with PBE was carried out for a geometry-optimized KSiOs structure.

V = 60 Å³/cell

The structure in CIF format:
```
data_KSiOs
_cell_length_a 3.0680
_cell_length_b 3.0680
_cell_length_c 7.3220
_cell_angle_alpha 90.00
_cell_angle_beta 90.00
_cell_angle_gamma 120.00
_symmetry_space_group_name_H-M 'P 3 m 1'
_symmetry_Int_Tables_number 156
_symmetry_space_group_name_Hall 'P 3 -2"'
loop_
_atom_site_label
_atom_site_type_symbol
_atom_site_fract_x
_atom_site_fract_y
_atom_site_fract_z
K1 K 0.0000 0.0000 0.0000
Si1 Si 0.3333 0.6667 0.6097
Os1 Os 0.6667 0.3333 0.3901
```

## Q
A plane-wave DFT calculation with PBE was carried out for a geometry-optimized KSiOs structure.

V = 135 Å³/cell

The structure in CIF format:
```
data_KSiOs
_cell_length_a 2.7995
_cell_length_b 3.9246
_cell_length_c 12.2655
_cell_angle_alpha 90.00
_cell_angle_beta 90.00
_cell_angle_gamma 90.00
_symmetry_space_group_name_H-M 'I m m 2'
_symmetry_Int_Tables_number 44
_symmetry_space_group_name_Hall 'I 2 -2'
loop_
_atom_site_label
_atom_site_type_symbol
_atom_site_fract_x
_atom_site_fract_y
_atom_site_fract_z
K1 K 0.0000 0.0000 0.0000
Si1 Si 0.0000 0.0000 0.2515
Os1 Os 0.0000 0.0000 0.7366
```

The winner here is Q, beating the second structure by 0.380 eV/atom.

## P
A plane-wave DFT calculation with PBE was carried out for a geometry-optimized K2Si2Os structure.

V = 252 Å³/cell

The structure in CIF format:
```
data_K2Si2Os
_cell_length_a 3.3477
_cell_length_b 3.3477
_cell_length_c 22.4712
_cell_angle_alpha 90.00
_cell_angle_beta 90.00
_cell_angle_gamma 90.00
_symmetry_space_group_name_H-M 'I 4/m m m'
_symmetry_Int_Tables_number 139
_symmetry_space_group_name_Hall '-I 4 2'
loop_
_atom_site_label
_atom_site_type_symbol
_atom_site_fract_x
_atom_site_fract_y
_atom_site_fract_z
K1 K 0.0000 0.0000 0.1084
Si1 Si 0.0000 0.5000 0.2500
Os1 Os 0.0000 0.0000 0.5000
```

## Q
A plane-wave DFT calculation with PBE was carried out for a geometry-optimized K2Si2Os structure.

V = 255 Å³/cell

The structure in CIF format:
```
data_K2Si2Os
_cell_length_a 9.9587
_cell_length_b 9.9587
_cell_length_c 2.5687
_cell_angle_alpha 90.00
_cell_angle_beta 90.00
_cell_angle_gamma 90.00
_symmetry_space_group_name_H-M 'P 4/m b m'
_symmetry_Int_Tables_number 127
_symmetry_space_group_name_Hall '-P 4 2ab'
loop_
_atom_site_label
_atom_site_type_symbol
_atom_site_fract_x
_atom_site_fract_y
_atom_site_fract_z
K1 K 0.1246 0.3754 0.0000
Si1 Si 0.1762 0.6762 0.5000
Os1 Os 0.0000 0.0000 0.0000
```

The winner here is P, beating the second structure by 0.420 eV/atom.

## P
A plane-wave DFT calculation with PBE was carried out for a geometry-optimized KSiOs3 structure.

V = 95 Å³/cell

The structure in CIF format:
```
data_KSiOs3
_cell_length_a 4.5605
_cell_length_b 4.5605
_cell_length_c 4.5605
_cell_angle_alpha 90.00
_cell_angle_beta 90.00
_cell_angle_gamma 90.00
_symmetry_space_group_name_H-M 'P m -3 m'
_symmetry_Int_Tables_number 221
_symmetry_space_group_name_Hall '-P 4 2 3'
loop_
_atom_site_label
_atom_site_type_symbol
_atom_site_fract_x
_atom_site_fract_y
_atom_site_fract_z
K1 K 0.0000 0.0000 0.0000
Si1 Si 0.5000 0.5000 0.5000
Os1 Os 0.0000 0.5000 0.5000
```

## Q
A plane-wave DFT calculation with PBE was carried out for a geometry-optimized KSiOs3 structure.

V = 97 Å³/cell

The structure in CIF format:
```
data_KSiOs3
_cell_length_a 4.5874
_cell_length_b 4.5874
_cell_length_c 4.5874
_cell_angle_alpha 90.00
_cell_angle_beta 90.00
_cell_angle_gamma 90.00
_symmetry_space_group_name_H-M 'P m -3 m'
_symmetry_Int_Tables_number 221
_symmetry_space_group_name_Hall '-P 4 2 3'
loop_
_atom_site_label
_atom_site_type_symbol
_atom_site_fract_x
_atom_site_fract_y
_atom_site_fract_z
K1 K 0.0000 0.0000 0.0000
Si1 Si 0.5000 0.5000 0.5000
Os1 Os 0.0000 0.0000 0.5000
```

The winner here is P, beating the second structure by 2.523 eV/atom.